A relaxed TmMgIn2 crystal, computed with PBE-GGA.

Results
calculated volume = 23.7 Å³/atom
size of the total moment = 0.000 μB/f.u.
space-group type = P4/mmm (123)
raw total energy = -3.248 eV/atom
formation enthalpy at 0 K = -0.363 eV/atom

The structure in POSCAR format:
```
TmMgIn2
1.0
-3.848 -2.214 -0.561
2.334 -3.937 -0.468
-0.262 -0.696 4.540
Mg Tm In
1 1 2
Direct
0.500 0.000 0.000
0.500 0.500 0.500
0.000 0.000 0.500
0.000 0.500 0.000
```